DFT (PBE) results for a geometry-optimized Pr3Cd3Hg8 structure.

The volume is 25.308 Å³/atom. Its total magnetic moment is 0.00 μB per cell. The value obtained for the formation energy is -0.2895 eV/atom.

a = 5.020 Å, b = 9.783 Å, c = 9.070 Å
α = 122.64°, β = 106.07°, γ = 90.00°
Fractional coordinates of all 14 atoms:
Pr1 0.500 0.500 0.000
Pr2 0.215 0.215 0.430
Pr3 0.785 0.785 0.570
Cd1 0.500 0.000 0.000
Cd2 0.000 0.841 0.000
Cd3 0.000 0.159 0.000
Hg1 0.352 0.060 0.704
Hg2 0.648 0.940 0.296
Hg3 0.352 0.644 0.704
Hg4 0.648 0.356 0.296
Hg5 0.145 0.787 0.290
Hg6 0.855 0.213 0.710
Hg7 0.145 0.503 0.290
Hg8 0.855 0.497 0.710

***

DFT (PBE) results for a geometry-optimized Ce2Sc2Sb2S structure.

The volume is 26.246 Å³/atom. The uncorrected formation energy is -1.108 eV/atom. Its total magnetic moment is 2.74 μB per cell.

a = 4.757 Å, b = 4.757 Å, c = 8.787 Å
α = 105.71°, β = 105.71°, γ = 90.00°
Site moments in Bohr magnetons follow the coordinates.
Fractional coordinates of all 7 atoms:
Ce1 0.170 0.170 0.340  0.94
Ce2 0.830 0.830 0.660  0.94
Sc1 0.000 0.500 0.000  0.12
Sc2 0.500 0.000 0.000  0.12
Sb1 0.370 0.370 0.739  -0.02
Sb2 0.630 0.630 0.261  -0.02
S1 0.000 0.000 0.000  -0.01

***

total magnetic moment of number 1 (Pr3Cd3Hg8)?
0.00 μB per cell